{"formula": "CuWBr2", "functional": "PBE-GGA", "state": "optimized geometry", "lattice": [[-1.3918, 1.4314, -2.4570], [1.7964, -2.5539, -0.5228], [-7.8609, -5.7546, 1.1005]], "species": ["Br", "Br", "Cu", "W"], "frac_coords": [[0.0000, 0.0000, 0.9329], [0.5000, 0.5000, 0.3269], [0.0000, 0.0000, 0.5173], [0.5000, 0.5000, 0.7228]], "raw_formation_energy_ev_per_atom": 0.523, "e_above_lowest_polymorph_ev_per_atom": 0.251, "spacegroup": "Cmm2 (35)", "vol_a3_per_cell": 85.9}

{"formula": "NbTcW", "functional": "PBE-GGA", "state": "optimized geometry", "lattice": [[-2.5641, -3.5765, 3.2802], [0.0881, -3.0824, -3.2919], [9.5156, 0.9607, -0.6448]], "species": ["Nb", "Nb", "Nb", "Nb", "Tc", "Tc", "Tc", "Tc", "W", "W", "W", "W"], "frac_coords": [[0.7501, 0.0000, 0.6673], [0.2499, 0.0000, 0.3327], [0.7501, 0.5000, 0.1673], [0.2499, 0.5000, 0.8327], [0.2532, 0.0000, 0.6693], [0.7468, 0.0000, 0.3307], [0.2532, 0.5000, 0.1693], [0.7468, 0.5000, 0.8307], [0.2518, 0.0000, 0.0042], [0.7482, 0.0000, 0.9958], [0.2518, 0.5000, 0.5042], [0.7482, 0.5000, 0.4958]], "e_above_lowest_polymorph_ev_per_atom": 0.064, "spacegroup": "C2/m (12)", "vol_a3_per_cell": 195.1, "formation_enthalpy_0k_kj_per_mol_atoms": -9.99}

{"formula": "SrBeAg2", "functional": "PBE-GGA", "state": "optimized geometry", "lattice": [[5.1376, 0.0006, 0.0000], [0.8447, 5.0677, 0.0000], [-2.9912, -2.5342, 3.3205]], "species": ["Sr", "Ag", "Ag", "Be"], "frac_coords": [[0.7500, 0.2500, 0.5000], [0.0000, 0.0000, 0.0000], [0.2500, 0.7500, 0.5000], [0.5000, 0.5000, 0.0000]], "spacegroup": "I-4m2 (119)", "vol_a3_per_cell": 86.5, "formation_enthalpy_0k_kj_per_mol_atoms": 27.82}

{"formula": "CuO", "functional": "PBE-GGA", "state": "optimized geometry", "lattice": [[2.7903, 0.0156, -0.0136], [-0.0156, 2.7923, -0.0044], [-1.3791, -1.4054, 2.7571]], "species": ["O", "Cu"], "frac_coords": [[0.0000, 0.0000, 0.0000], [0.5000, 0.5000, 0.0000]], "raw_formation_energy_ev_per_atom": -0.421, "spacegroup": "I4/mmm (139)", "vol_a3_per_cell": 21.4}

no.,total energy (eV for the cell shown)
1,-18.3
2,-134.8
3,-10.0
4,-9.9